Compound: LiZnPd2
Source: OQMD
Functional: PBE
Structure: optimized geometry

Geometry as CIF:
```
data_LiZnPd2
_cell_length_a 6.9674
_cell_length_b 7.3799
_cell_length_c 5.0306
_cell_angle_alpha 90.00
_cell_angle_beta 90.00
_cell_angle_gamma 90.00
_symmetry_space_group_name_H-M 'P n m a'
_symmetry_Int_Tables_number 62
loop_
_symmetry_equiv_pos_as_xyz
'x,y,z'
'-x,-y,-z'
'-x+1/2,-y,z+1/2'
'x+1/2,y,-z+1/2'
'x+1/2,-y+1/2,-z+1/2'
'-x+1/2,y+1/2,z+1/2'
'-x,y+1/2,-z'
'x,-y+1/2,z'
loop_
_atom_site_label
_atom_site_type_symbol
_atom_site_fract_x
_atom_site_fract_y
_atom_site_fract_z
Li1 Li 0.0293 0.2500 0.1187
Zn1 Zn 0.1075 0.7500 0.3838
Pd1 Pd 0.1891 0.0560 0.5802
```

## Properties
Electronic total energy   -3.73 eV per atom

Compound: Gd3Mg3PdPt2
Source: OQMD
Functional: PBE
Structure: optimized geometry

Geometry as CIF:
```
data_Gd3Mg3PdPt2
_cell_length_a 7.4941
_cell_length_b 7.4941
_cell_length_c 4.0378
_cell_angle_alpha 90.00
_cell_angle_beta 90.00
_cell_angle_gamma 120.00
_symmetry_space_group_name_H-M 'P -6 2 m'
_symmetry_Int_Tables_number 189
_symmetry_space_group_name_Hall 'P -6 -2'
loop_
_atom_site_label
_atom_site_type_symbol
_atom_site_fract_x
_atom_site_fract_y
_atom_site_fract_z
Gd1 Gd 0.0000 0.4141 0.0000
Mg1 Mg 0.0000 0.7565 0.5000
Pd1 Pd 0.0000 0.0000 0.0000
Pt1 Pt 0.3333 0.6667 0.5000
```

## Properties
Electronic total energy   -4.86 eV per atom

Compound: HfAlInS3
Source: OQMD
Functional: PBE
Structure: optimized geometry

Geometry as CIF:
```
data_HfAlInS3
_cell_length_a 3.4599
_cell_length_b 16.1971
_cell_length_c 9.8941
_cell_angle_alpha 90.00
_cell_angle_beta 90.00
_cell_angle_gamma 90.00
_symmetry_space_group_name_H-M 'C m c m'
_symmetry_Int_Tables_number 63
_symmetry_space_group_name_Hall '-C 2c 2'
loop_
_atom_site_label
_atom_site_type_symbol
_atom_site_fract_x
_atom_site_fract_y
_atom_site_fract_z
Hf1 Hf 0.0000 0.0000 0.0000
Al1 Al 0.0000 0.4508 0.2500
In1 In 0.0000 0.2627 0.7500
S1 S 0.0000 0.0467 0.2500
S2 S 0.0000 0.3821 0.0542
```

## Properties
Electronic total energy   -5.63 eV per atom

Compound: LiHf2Zr
Source: OQMD
Functional: PBE
Structure: optimized geometry

Geometry as CIF:
```
data_LiHf2Zr
_cell_length_a 6.8799
_cell_length_b 6.8799
_cell_length_c 6.8799
_cell_angle_alpha 90.00
_cell_angle_beta 90.00
_cell_angle_gamma 90.00
_symmetry_space_group_name_H-M 'F -4 3 m'
_symmetry_Int_Tables_number 216
_symmetry_space_group_name_Hall 'F -4 2 3'
loop_
_atom_site_label
_atom_site_type_symbol
_atom_site_fract_x
_atom_site_fract_y
_atom_site_fract_z
Li1 Li 0.0000 0.0000 0.0000
Hf1 Hf 0.0000 0.0000 0.5000
Hf2 Hf 0.2500 0.2500 0.7500
Zr1 Zr 0.2500 0.2500 0.2500
```

## Properties
Electronic total energy   -7.29 eV per atom

Compound: Pr4B2O5
Source: OQMD
Functional: PBE
Structure: optimized geometry

Geometry as CIF:
```
data_Pr4B2O5
_cell_length_a 12.1832
_cell_length_b 3.6914
_cell_length_c 8.9005
_cell_angle_alpha 90.00
_cell_angle_beta 129.96
_cell_angle_gamma 90.00
_symmetry_space_group_name_H-M 'C 1 2/m 1'
_symmetry_Int_Tables_number 12
loop_
_symmetry_equiv_pos_as_xyz
'x,y,z'
'-x,-y,-z'
'-x,y,-z'
'x,-y,z'
'x+1/2,y+1/2,z'
'-x+1/2,-y+1/2,-z'
'-x+1/2,y+1/2,-z'
'x+1/2,-y+1/2,z'
loop_
_atom_site_label
_atom_site_type_symbol
_atom_site_fract_x
_atom_site_fract_y
_atom_site_fract_z
Pr1 Pr 0.0599 0.0000 0.3425
Pr2 Pr 0.1796 0.5000 0.1159
B1 B 0.0863 0.5000 0.6036
O1 O 0.0000 0.0000 0.0000
O2 O 0.1344 0.5000 0.8043
O3 O 0.2101 0.5000 0.6080
```

## Properties
Electronic total energy   -7.42 eV per atom

Compound: DySnBr2N
Source: OQMD
Functional: PBE
Structure: optimized geometry

Geometry as CIF:
```
data_DySnBr2N
_cell_length_a 3.7554
_cell_length_b 3.7554
_cell_length_c 10.4794
_cell_angle_alpha 90.00
_cell_angle_beta 90.00
_cell_angle_gamma 120.00
_symmetry_space_group_name_H-M 'P 3 m 1'
_symmetry_Int_Tables_number 156
loop_
_symmetry_equiv_pos_as_xyz
'x,y,z'
'-y,x-y,z'
'-x+y,-x,z'
'-y,-x,z'
'-x+y,y,z'
'x,x-y,z'
loop_
_atom_site_label
_atom_site_type_symbol
_atom_site_fract_x
_atom_site_fract_y
_atom_site_fract_z
Dy1 Dy 0.0000 0.0000 0.0000
Sn1 Sn 0.6667 0.3333 0.7374
Br1 Br 0.0000 0.0000 0.5442
Br2 Br 0.6667 0.3333 0.1869
N1 N 0.3333 0.6667 0.9081
```

## Properties
Electronic total energy   -5.04 eV per atom

Compound: AgSbTe2
Source: OQMD
Functional: PBE
Structure: optimized geometry

Geometry as CIF:
```
data_AgSbTe2
_cell_length_a 7.4460
_cell_length_b 7.4460
_cell_length_c 7.4460
_cell_angle_alpha 90.00
_cell_angle_beta 90.00
_cell_angle_gamma 90.00
_symmetry_space_group_name_H-M 'F -4 3 m'
_symmetry_Int_Tables_number 216
_symmetry_space_group_name_Hall 'F -4 2 3'
loop_
_atom_site_label
_atom_site_type_symbol
_atom_site_fract_x
_atom_site_fract_y
_atom_site_fract_z
Ag1 Ag 0.0000 0.0000 0.0000
Sb1 Sb 0.2500 0.2500 0.7500
Te1 Te 0.0000 0.0000 0.5000
Te2 Te 0.2500 0.2500 0.2500
```

## Properties
Electronic total energy   -2.98 eV per atom

Compound: Mg2NbTl
Source: OQMD
Functional: PBE
Structure: optimized geometry

Geometry as CIF:
```
data_Mg2NbTl
_cell_length_a 6.9458
_cell_length_b 6.9458
_cell_length_c 6.9458
_cell_angle_alpha 90.00
_cell_angle_beta 90.00
_cell_angle_gamma 90.00
_symmetry_space_group_name_H-M 'F -4 3 m'
_symmetry_Int_Tables_number 216
_symmetry_space_group_name_Hall 'F -4 2 3'
loop_
_atom_site_label
_atom_site_type_symbol
_atom_site_fract_x
_atom_site_fract_y
_atom_site_fract_z
Mg1 Mg 0.0000 0.0000 0.0000
Mg2 Mg 0.2500 0.2500 0.2500
Nb1 Nb 0.2500 0.2500 0.7500
Tl1 Tl 0.0000 0.0000 0.5000
```

## Properties
Electronic total energy   -3.50 eV per atom

Compound: ErScGa4Co2
Source: OQMD
Functional: PBE
Structure: optimized geometry

Geometry as CIF:
```
data_ErScGa4Co2
_cell_length_a 6.7229
_cell_length_b 4.0161
_cell_length_c 9.7049
_cell_angle_alpha 90.00
_cell_angle_beta 90.00
_cell_angle_gamma 90.00
_symmetry_space_group_name_H-M 'A m m 2'
_symmetry_Int_Tables_number 38
loop_
_symmetry_equiv_pos_as_xyz
'x,y,z'
'-x,-y,z'
'-x,y,z'
'x,-y,z'
'x,y+1/2,z+1/2'
'-x,-y+1/2,z+1/2'
'-x,y+1/2,z+1/2'
'x,-y+1/2,z+1/2'
loop_
_atom_site_label
_atom_site_type_symbol
_atom_site_fract_x
_atom_site_fract_y
_atom_site_fract_z
Er1 Er 0.0000 0.0000 0.0000
Sc1 Sc 0.5000 0.0000 0.8633
Ga1 Ga 0.2028 0.0000 0.2869
Ga2 Ga 0.3065 0.0000 0.5777
Co1 Co 0.0000 0.0000 0.7190
Co2 Co 0.5000 0.0000 0.1403
```

## Properties
Electronic total energy   -5.18 eV per atom

Compound: Pr2FeCoSi2
Source: OQMD
Functional: PBE
Structure: optimized geometry

Geometry as CIF:
```
data_Pr2FeCoSi2
_cell_length_a 4.0145
_cell_length_b 4.0145
_cell_length_c 7.0623
_cell_angle_alpha 90.00
_cell_angle_beta 90.00
_cell_angle_gamma 90.00
_symmetry_space_group_name_H-M 'P -4 m 2'
_symmetry_Int_Tables_number 115
loop_
_symmetry_equiv_pos_as_xyz
'x,y,z'
'y,-x,-z'
'-x,-y,z'
'-y,x,-z'
'-x,y,z'
'-y,-x,-z'
'x,-y,z'
'y,x,-z'
loop_
_atom_site_label
_atom_site_type_symbol
_atom_site_fract_x
_atom_site_fract_y
_atom_site_fract_z
Pr1 Pr 0.0000 0.5000 0.1811
Fe1 Fe 0.0000 0.0000 0.5000
Co1 Co 0.5000 0.5000 0.5000
Si1 Si 0.0000 0.5000 0.6664
```

## Properties
Electronic total energy   -6.60 eV per atom

Compound: DyAgPd2
Source: OQMD
Functional: PBE
Structure: optimized geometry

Geometry as CIF:
```
data_DyAgPd2
_cell_length_a 4.3020
_cell_length_b 4.3020
_cell_length_c 3.9047
_cell_angle_alpha 90.00
_cell_angle_beta 90.00
_cell_angle_gamma 90.00
_symmetry_space_group_name_H-M 'P 4/m m m'
_symmetry_Int_Tables_number 123
_symmetry_space_group_name_Hall '-P 4 2'
loop_
_atom_site_label
_atom_site_type_symbol
_atom_site_fract_x
_atom_site_fract_y
_atom_site_fract_z
Dy1 Dy 0.0000 0.0000 0.0000
Ag1 Ag 0.5000 0.5000 0.0000
Pd1 Pd 0.0000 0.5000 0.5000
```

## Properties
Energy of formation from the pure elements   -272 kJ/mol of formula units
Electronic total energy   -5.15 eV per atom

Compound: PmDyPO
Source: OQMD
Functional: PBE
Structure: optimized geometry

Geometry as CIF:
```
data_PmDyPO
_cell_length_a 4.3228
_cell_length_b 4.3228
_cell_length_c 8.7551
_cell_angle_alpha 90.00
_cell_angle_beta 90.00
_cell_angle_gamma 90.00
_symmetry_space_group_name_H-M 'P 4/n m m'
_symmetry_Int_Tables_number 129
loop_
_symmetry_equiv_pos_as_xyz
'x,y,z'
'-x,-y,-z'
'-y+1/2,x,z'
'y+1/2,-x,-z'
'-x+1/2,-y+1/2,z'
'x+1/2,y+1/2,-z'
'y,-x+1/2,z'
'-y,x+1/2,-z'
'x+1/2,-y,-z'
'-x+1/2,y,z'
'-y,-x,-z'
'y,x,z'
'-x,y+1/2,-z'
'x,-y+1/2,z'
'y+1/2,x+1/2,-z'
'-y+1/2,-x+1/2,z'
loop_
_atom_site_label
_atom_site_type_symbol
_atom_site_fract_x
_atom_site_fract_y
_atom_site_fract_z
Pm1 Pm 0.2500 0.7500 0.0000
Dy1 Dy 0.2500 0.2500 0.4019
P1 P 0.2500 0.2500 0.7922
O1 O 0.2500 0.7500 0.5000
```

## Properties
Excess energy over the best structure of this formula in the dataset   182 meV per atom
Electronic total energy   -6.76 eV per atom

- electronic total energy of number 2 (Gd3Mg3PdPt2)?
  -4.86 eV per atom